(1)
Material: Er14ScIn
Method: DFT, PBE-GGA
State: relaxed

- ΔE_f (eV per atom) = -0.03

a b c (Å): 6.9277 6.9277 9.8315
angles (deg): 90.00 90.00 90.00
Closest atoms and distances in Å follow each position.
Space group P4/mmm (No. 123)
Asymmetric unit:
Er (0.0000, 0.0000, 0.0000) x1  12 Er 3.46-3.49
Er (0.0000, 0.5000, 0.0000) x2  12 Er 3.46-3.50
Er (0.0000, 0.5000, 0.5000) x2  8 Er 3.44, 2 In 3.46, 2 Sc 3.46
Er (0.2487, 0.2487, 0.2541) x8  1 Sc 3.43, 10 Er 3.44-3.51, 1 In 3.45
Er (0.5000, 0.5000, 0.0000) x1  12 Er 3.46-3.51
Sc (0.0000, 0.0000, 0.5000) x1  12 Er 3.43-3.46
In (0.5000, 0.5000, 0.5000) x1  12 Er 3.45-3.46

(2)
Material: ScNiAu3
Method: DFT, PBE-GGA
State: relaxed

- ΔE_f (eV per atom) = 0.91
- excess energy over the best structure of this formula in the dataset (eV per atom) = 0.705

a b c (Å): 5.0719 5.0719 5.0719
angles (deg): 90.00 90.00 90.00
Closest atoms and distances in Å follow each position.
Space group Pm-3m (No. 221)
Asymmetric unit:
Sc (0.0000, 0.0000, 0.0000) x1  6 Au 2.54
Ni (0.5000, 0.5000, 0.5000) x1  12 Au 3.59
Au (0.0000, 0.0000, 0.5000) x3  2 Sc 2.54

(3)
Material: NdLu2Pu
Method: DFT, PBE-GGA
State: relaxed

- ΔE_f (eV per atom) = 0.09
- excess energy over the best structure of this formula in the dataset (eV per atom) = 0.000

a b c (Å): 3.5026 3.5026 9.8382
angles (deg): 90.00 90.00 90.00
Closest atoms and distances in Å follow each position.
Space group P4/mmm (No. 123)
Asymmetric unit:
Nd (0.0000, 0.0000, 0.0000) x1  4 Nd 3.50, 8 Lu 3.57
Lu (0.5000, 0.5000, 0.2608) x2  4 Pu 3.42, 4 Lu 3.50, 4 Nd 3.57
Pu (0.0000, 0.0000, 0.5000) x1  8 Lu 3.42, 4 Pu 3.50

(4)
Material: Na2HfAlPt
Method: DFT, PBE-GGA
State: relaxed

- ΔE_f (eV per atom) = 0.43

a b c (Å): 5.1851 5.1851 5.0684
angles (deg): 90.00 90.00 90.00
Closest atoms and distances in Å follow each position.
Space group P4/mmm (No. 123)
Asymmetric unit:
Na (0.0000, 0.5000, 0.0000) x2  2 Pt 2.59
Hf (0.0000, 0.0000, 0.5000) x1  2 Pt 2.53
Al (0.5000, 0.5000, 0.5000) x1  8 Na 3.63, 4 Hf 3.67
Pt (0.0000, 0.0000, 0.0000) x1  2 Hf 2.53, 4 Na 2.59

(5)
Material: MgIn2Ag
Method: DFT, PBE-GGA
State: relaxed

- ΔE_f (eV per atom) = -0.04

a b c (Å): 3.2295 4.4866 6.4730
angles (deg): 90.00 100.73 90.00
Closest atoms and distances in Å follow each position.
Space group Pm (No. 6)
Asymmetric unit:
Mg (0.0000, 0.0000, 0.0000) x1  4 Ag 2.93-2.95, 1 In 3.17, 2 Mg 3.23
In (0.3680, 0.5000, 0.7070) x1  1 Ag 2.87, 2 In 3.17
In (0.7511, 0.0000, 0.4512) x1  2 Ag 2.93, 1 Mg 3.17, 6 In 3.17-3.24
Ag (0.5534, 0.5000, 0.1580) x1  3 In 2.87-2.93, 4 Mg 2.93-2.95

(6)
Material: LiAl2
Method: DFT, PBE-GGA
State: relaxed

- ΔE_f (eV per atom) = -0.03
- excess energy over the best structure of this formula in the dataset (eV per atom) = 0.085

a b c (Å): 2.8292 2.8292 25.7039
angles (deg): 90.00 90.00 90.00
Closest atoms and distances in Å follow each position.
Space group I4_1/amd (No. 141, origin choice 2)
Asymmetric unit:
Li (0.0000, 0.2500, 0.3750) x4  4 Li 2.83, 8 Al 2.85
Al (0.0000, 0.2500, 0.7958) x8  6 Al 2.74-2.83, 4 Li 2.85

(7)
Material: ScZnCo2
Method: DFT, PBE-GGA
State: relaxed

- ΔE_f (eV per atom) = 0.20

a b c (Å): 2.8255 2.8255 25.3370
angles (deg): 90.00 90.00 120.00
Closest atoms and distances in Å follow each position.
Space group R3m (No. 160, hexagonal axes)
Asymmetric unit:
Sc (0.0000, 0.0000, 0.0000) x3  3 Co 2.72, 6 Sc 2.83, 3 Zn 2.97
Zn (0.0000, 0.0000, 0.7644) x3  3 Co 2.59, 6 Zn 2.83
Co (0.0000, 0.0000, 0.2474) x3  3 Co 2.41
Co (0.0000, 0.0000, 0.5107) x3  3 Co 2.41, 3 Zn 2.59

(8)
Material: PrSm2Er3
Method: DFT, PBE-GGA
State: relaxed

- ΔE_f (eV per atom) = 0.05
- excess energy over the best structure of this formula in the dataset (eV per atom) = 0.000

a b c (Å): 10.6363 13.2191 5.5810
angles (deg): 90.00 90.00 90.00
Closest atoms and distances in Å follow each position.
Space group Cmcm (No. 63)
Asymmetric unit:
Pr (0.0000, 0.1816, 0.2500) x4  7 Er 3.42-3.81, 6 Sm 3.67-3.73
Sm (0.1706, 0.0648, 0.7500) x8  3 Sm 3.27-3.63, 5 Er 3.46-3.61
Er (0.0000, 0.4402, 0.2500) x4  4 Er 3.21-3.55, 1 Pr 3.42, 2 Sm 3.50
Er (0.1646, 0.3264, 0.7500) x8  4 Sm 3.46-3.61, 4 Er 3.50-3.62, 3 Pr 3.57-3.81

(9)
Material: Er2Sb2O7
Method: DFT, PBE-GGA
State: relaxed

- formation energy without anion corrections (eV per atom) = -2.390

a b c (Å): 7.5092 7.5092 18.4311
angles (deg): 90.00 90.00 120.00
Closest atoms and distances in Å follow each position.
Space group P3_121 (No. 152)
Asymmetric unit:
Er (0.0000, 0.8301, 0.1667) x3  6 O 2.31-2.56
Er (0.0000, 0.8318, 0.6667) x3  6 O 2.17-2.39
Er (0.1801, 0.6818, 0.5110) x6  6 O 2.19-2.40
Sb (0.0000, 0.3022, 0.1667) x3  2 O 2.06
Sb (0.0000, 0.3216, 0.6667) x3  6 O 2.22-2.44
Sb (0.1661, 0.6669, 0.0005) x6  6 O 1.98-2.03
O (0.0079, 0.3328, 0.7899) x6  3 Er 2.26-2.40, 1 Sb 2.27
O (0.0081, 0.8107, 0.0279) x6  2 Sb 2.03-2.22
O (0.0179, 0.8537, 0.7840) x6  1 Sb 2.06, 1 Er 2.17
O (0.0549, 0.4425, 0.3054) x6  2 Sb 1.98
O (0.1060, 0.6574, 0.8931) x6  1 Sb 2.02
O (0.2018, 0.6870, 0.6380) x6  1 Sb 2.02
O (0.2329, 0.6950, 0.1060) x6  1 Sb 1.99, 1 Er 2.19

(10)
Material: Pr3GdH
Method: DFT, PBE-GGA
State: relaxed

a b c (Å): 5.1975 5.1975 5.1975
angles (deg): 90.00 90.00 90.00
Closest atoms and distances in Å follow each position.
Space group Pm-3m (No. 221)
Asymmetric unit:
Pr (0.0000, 0.0000, 0.5000) x3  2 H 2.60
Gd (0.5000, 0.5000, 0.5000) x1  12 Pr 3.68
H (0.0000, 0.0000, 0.0000) x1  6 Pr 2.60

(11)
Material: CaTa2Hg
Method: DFT, PBE-GGA
State: relaxed

- ΔE_f (eV per atom) = 0.55

a b c (Å): 3.1679 5.4461 10.3470
angles (deg): 90.00 90.00 90.00
Closest atoms and distances in Å follow each position.
Space group Imm2 (No. 44)
Asymmetric unit:
Ca (0.0000, 0.0000, 0.0000) x2  8 Ta 3.15-3.52, 2 Ca 3.17, 2 Hg 3.18
Ta (0.0000, 0.0000, 0.5079) x2  2 Ta 2.67, 2 Hg 2.95
Ta (0.0000, 0.5000, 0.2159) x2  2 Ta 2.67
Hg (0.0000, 0.5000, 0.7668) x2  6 Ta 2.95-3.19, 2 Hg 3.17, 2 Ca 3.18

(12)
Material: BaTc2Ir
Method: DFT, PBE-GGA
State: relaxed

- ΔE_f (eV per atom) = 1.28
- excess energy over the best structure of this formula in the dataset (eV per atom) = 0.959

a b c (Å): 4.9946 4.9946 3.0196
angles (deg): 90.00 90.00 90.00
Closest atoms and distances in Å follow each position.
Space group P4/mmm (No. 123)
Asymmetric unit:
Ba (0.0000, 0.0000, 0.0000) x1  8 Tc 2.92, 2 Ba 3.02
Tc (0.0000, 0.5000, 0.5000) x2  4 Ba 2.92, 4 Ir 2.92, 2 Tc 3.02
Ir (0.5000, 0.5000, 0.0000) x1  8 Tc 2.92, 2 Ir 3.02

(13)
Material: LiPmTl6
Method: DFT, PBE-GGA
State: relaxed

- ΔE_f (eV per atom) = -0.14

a b c (Å): 9.5430 9.5695 4.8246
angles (deg): 90.00 90.00 90.00
Closest atoms and distances in Å follow each position.
Space group Cmmm (No. 65)
Asymmetric unit:
Li (0.0000, 0.0000, 0.0000) x2  12 Tl 3.36-3.38
Pm (0.0000, 0.5000, 0.0000) x2  12 Tl 3.38-3.43
Tl (0.0000, 0.2466, 0.5000) x4  8 Tl 3.32-3.44, 2 Li 3.37, 2 Pm 3.42
Tl (0.2450, 0.0000, 0.5000) x4  8 Tl 3.32-3.44, 2 Li 3.36, 2 Pm 3.43
Tl (0.2500, 0.2500, 0.0000) x4  2 Li 3.38, 2 Pm 3.38, 8 Tl 3.39-3.40

(14)
Material: BaYP2Cl
Method: DFT, PBE-GGA
State: relaxed

- excess energy over the best structure of this formula in the dataset (eV per atom) = 1.200
- formation energy without anion corrections (eV per atom) = 0.141

a b c (Å): 5.5508 5.5508 5.4587
angles (deg): 90.00 90.00 90.00
Closest atoms and distances in Å follow each position.
Space group P4/mmm (No. 123)
Asymmetric unit:
Ba (0.0000, 0.0000, 0.0000) x1  2 Cl 2.73, 4 P 2.78
Y (0.5000, 0.5000, 0.5000) x1  8 P 3.89, 4 Cl 3.93
P (0.0000, 0.5000, 0.0000) x2  2 Ba 2.78
Cl (0.0000, 0.0000, 0.5000) x1  2 Ba 2.73

(15)
Material: MgCu4Bi
Method: DFT, PBE-GGA
State: relaxed

- ΔE_f (eV per atom) = -0.01

a b c (Å): 7.2487 7.2487 7.2487
angles (deg): 90.00 90.00 90.00
Closest atoms and distances in Å follow each position.
Space group F-43m (No. 216)
Asymmetric unit:
Mg (0.0000, 0.0000, 0.0000) x4  12 Cu 3.00, 4 Bi 3.14
Cu (0.1263, 0.1263, 0.3737) x16  6 Cu 2.54-2.59
Bi (0.2500, 0.2500, 0.7500) x4  12 Cu 3.01, 4 Mg 3.14

(16)
Material: Fe2CoSnW
Method: DFT, PBE-GGA
State: relaxed

- ΔE_f (eV per atom) = 1.96

a b c (Å): 4.6365 4.6365 4.6122
angles (deg): 90.00 90.00 90.00
Closest atoms and distances in Å follow each position.
Space group P4/mmm (No. 123)
Asymmetric unit:
Fe (0.0000, 0.5000, 0.0000) x2  2 Sn 2.32
Co (0.0000, 0.0000, 0.5000) x1  2 Sn 2.31
Sn (0.0000, 0.0000, 0.0000) x1  2 Co 2.31, 4 Fe 2.32
W (0.5000, 0.5000, 0.5000) x1  8 Fe 3.27, 4 Co 3.28

(17)
Material: TbSmAlIn
Method: DFT, PBE-GGA
State: relaxed

- ΔE_f (eV per atom) = -0.42
- excess energy over the best structure of this formula in the dataset (eV per atom) = 0.011

a b c (Å): 7.4626 7.4626 7.4626
angles (deg): 90.00 90.00 90.00
Closest atoms and distances in Å follow each position.
Space group F-43m (No. 216)
Asymmetric unit:
Tb (0.0000, 0.0000, 0.0000) x4  4 Al 3.23, 4 In 3.23
Sm (0.0000, 0.0000, 0.5000) x4  4 In 3.23, 4 Al 3.23
Al (0.2500, 0.2500, 0.2500) x4  4 Sm 3.23, 4 Tb 3.23
In (0.2500, 0.2500, 0.7500) x4  4 Tb 3.23, 4 Sm 3.23

(18)
Material: RbNa2Pd
Method: DFT, PBE-GGA
State: relaxed

- ΔE_f (eV per atom) = 0.12
- excess energy over the best structure of this formula in the dataset (eV per atom) = 0.083

a b c (Å): 7.7942 7.7942 7.7942
angles (deg): 90.00 90.00 90.00
Closest atoms and distances in Å follow each position.
Space group Fm-3m (No. 225)
Asymmetric unit:
Rb (0.0000, 0.0000, 0.0000) x4  8 Na 3.37
Na (0.2500, 0.2500, 0.2500) x8  4 Rb 3.37, 4 Pd 3.37
Pd (0.0000, 0.0000, 0.5000) x4  8 Na 3.37

(19)
Material: RbTiHF6
Method: DFT, PBE-GGA
State: relaxed

a b c (Å): 4.9831 5.4900 5.9811
angles (deg): 87.50 68.26 86.14
Closest atoms and distances in Å follow each position.
Space group P1 (No. 1)
Asymmetric unit:
Rb (0.0000, 0.0000, 0.0000) x1  7 F 2.81-3.07
Ti (0.2660, 0.5422, 0.4068) x1  4 F 1.79-1.87
H (0.6848, 0.7628, 0.5669) x1  1 F 1.09
F (0.0207, 0.3981, 0.6824) x1  1 Ti 1.83
F (0.1078, 0.4425, 0.1993) x1  1 Ti 1.82
F (0.4311, 0.7076, 0.6228) x1  1 H 1.24
F (0.4458, 0.7901, 0.1899) x1  1 Ti 1.87
F (0.5482, 0.3051, 0.3351) x1  1 Ti 1.79
F (0.9048, 0.8191, 0.5152) x1  1 H 1.09

(20)
Material: Zn2Ga2As
Method: DFT, PBE-GGA
State: relaxed

- ΔE_f (eV per atom) = 0.11
- excess energy over the best structure of this formula in the dataset (eV per atom) = 0.000

a b c (Å): 6.8073 6.8073 4.0476
angles (deg): 90.00 90.00 90.00
Closest atoms and distances in Å follow each position.
Space group P4/mbm (No. 127)
Asymmetric unit:
Zn (0.1333, 0.3667, 0.0000) x4  1 Zn 2.57, 2 As 2.66, 2 Ga 2.75
Ga (0.1734, 0.6734, 0.5000) x4  6 Zn 2.75-2.92
As (0.0000, 0.0000, 0.0000) x2  4 Zn 2.66

(21)
Material: BaAlCd2Bi
Method: DFT, PBE-GGA
State: relaxed

- ΔE_f (eV per atom) = 0.24

a b c (Å): 5.8394 5.8394 5.6256
angles (deg): 90.00 90.00 90.00
Closest atoms and distances in Å follow each position.
Space group P4/mmm (No. 123)
Asymmetric unit:
Ba (0.0000, 0.0000, 0.0000) x1  8 Cd 4.05, 4 Al 4.13
Al (0.5000, 0.5000, 0.0000) x1  2 Bi 2.81
Cd (0.0000, 0.5000, 0.5000) x2  2 Bi 2.92
Bi (0.5000, 0.5000, 0.5000) x1  2 Al 2.81, 4 Cd 2.92

(22)
Material: Sr3TlCd2
Method: DFT, PBE-GGA
State: relaxed

- ΔE_f (eV per atom) = -0.37

a b c (Å): 4.0947 4.0947 12.0937
angles (deg): 90.00 90.00 90.00
Closest atoms and distances in Å follow each position.
Space group P4/mmm (No. 123)
Asymmetric unit:
Sr (0.0000, 0.0000, 0.0000) x1  8 Cd 3.54
Sr (0.0000, 0.0000, 0.3330) x2  4 Cd 3.51, 4 Tl 3.53
Tl (0.5000, 0.5000, 0.5000) x1  8 Sr 3.53
Cd (0.5000, 0.5000, 0.1686) x2  8 Sr 3.51-3.54

(23)
Material: Zr2PtCl
Method: DFT, PBE-GGA
State: relaxed

- excess energy over the best structure of this formula in the dataset (eV per atom) = 0.160
- formation energy without anion corrections (eV per atom) = -0.724

a b c (Å): 3.1125 3.1125 7.6092
angles (deg): 90.00 90.00 90.00
Closest atoms and distances in Å follow each position.
Space group P4/mmm (No. 123)
Asymmetric unit:
Zr (0.0000, 0.0000, 0.2469) x2  4 Pt 2.89, 4 Cl 2.92, 4 Zr 3.11
Pt (0.5000, 0.5000, 0.0000) x1  8 Zr 2.89, 4 Pt 3.11
Cl (0.5000, 0.5000, 0.5000) x1  8 Zr 2.92, 4 Cl 3.11

(24)
Material: LiSe2Cl
Method: DFT, PBE-GGA
State: relaxed

- excess energy over the best structure of this formula in the dataset (eV per atom) = 0.407
- formation energy without anion corrections (eV per atom) = -0.361

a b c (Å): 3.6649 3.6649 6.4357
angles (deg): 90.00 90.00 90.00
Closest atoms and distances in Å follow each position.
Space group P4/mmm (No. 123)
Asymmetric unit:
Li (0.0000, 0.0000, 0.0000) x1  8 Se 2.83
Se (0.5000, 0.5000, 0.1782) x2  1 Se 2.29
Cl (0.0000, 0.0000, 0.5000) x1  2 Li 3.22, 8 Se 3.32

no.,electronic total energy (eV/atom),DOS at the Fermi energy (states/eV/cell),total magnetic moment (μB/cell)
1,-4.588,23.84,0.000
2,-3.481,10.12,0.932
3,-6.942,9.95,6.508
4,-4.045,4.06,0.000
5,-2.521,0.91,0.000
6,-3.158,5.62,0.000
7,-5.258,13.36,9.658
8,-4.602,39.81,0.000
9,-7.125,0.00,0.000
10,-6.527,5.05,7.136
11,-5.950,5.89,0.000
12,-6.602,6.16,3.082
13,-2.752,8.87,0.000
14,-4.070,4.26,0.282
15,-3.657,12.61,0.000
16,-6.235,4.02,3.502
17,-4.375,5.55,0.000
18,-2.076,15.69,0.000
19,-5.544,0.00,0.065
20,-2.544,3.40,0.000
21,-2.037,3.56,0.000
22,-1.908,4.22,0.000
23,-6.970,3.90,0.001
24,-3.044,2.92,0.000